## ScCdPt3 (PBE)

Data for ScCdPt3 after structural relaxation.

As for the calculated volume: 98.62 Å³/f.u. The calculated formation energy is -0.28 eV per atom. The value obtained for the excess energy over the best structure of this formula in the dataset is 0 kJ/mol of formula units. As for the symmetry: P6_3/mmc (194).

Cell: 5.1339 6.6605 6.6605 Å, 120.00 90.00 90.00°
Closest atoms and distances in Å follow each position.
Atoms (fractional coordinates):
Sc 0.2500 0.3335 0.6665  6 Pt 2.97
Sc 0.7500 0.6665 0.3335  6 Pt 2.97
Cd 0.0000 0.0000 0.0000  2 Cd 2.57, 6 Pt 2.67-2.68
Cd 0.5000 0.0000 0.0000  2 Cd 2.57, 6 Pt 2.67-2.68
Pt 0.2500 0.7965 0.2035  2 Pt 2.60, 2 Cd 2.68
Pt 0.7500 0.2035 0.7965  2 Pt 2.60, 2 Cd 2.68
Pt 0.2500 0.7965 0.5932  2 Pt 2.60, 2 Cd 2.67
Pt 0.7500 0.2035 0.4068  2 Pt 2.60, 2 Cd 2.67
Pt 0.2500 0.4068 0.2035  2 Pt 2.60, 2 Cd 2.67
Pt 0.7500 0.5932 0.7965  2 Pt 2.60, 2 Cd 2.67